Cu3RhSe: relaxed, PBE.

a b c (Å): 4.625 4.625 4.625
angles (deg): 90.00 90.00 90.00
Last column: magnetic moment on the atom in μB.
Positions (direct):
Rh (0.000, 0.000, 0.000)  0.63
Cu (0.000, 0.500, 0.000)  0.11
Cu (0.500, 0.000, 0.000)  0.05
Cu (0.000, 0.000, 0.500)  0.21
Se (0.500, 0.500, 0.500)  0.02

Values from the calculation:
N(E_F) (states/eV/atom): 1.180
Calculated volume (Å³ per cell): 98.9
Raw formation energy (eV per formula unit): 5.2